Entry from Alexandria via LeMat-Bulk: a relaxed structure of ThCuAgH6 (GGA-PBE).

```
data_ThCuAgH6
_chemical_formula_sum 'Th1 Cu1 Ag1 H6'
_cell_length_a 4.5502
_cell_length_b 4.5502
_cell_length_c 4.5383
_cell_angle_alpha 90.00
_cell_angle_beta 90.00
_cell_angle_gamma 120.00
_space_group_name_H-M_alt 'P -6 m 2'
_space_group_IT_number 187
_space_group_name_Hall 'P -6 2'
loop_
_atom_site_label
_atom_site_type_symbol
_atom_site_fract_x
_atom_site_fract_y
_atom_site_fract_z
Th1 Th 0.0000 0.0000 0.0000
Cu1 Cu 0.6667 0.3333 0.5000
Ag1 Ag 0.3333 0.6667 0.5000
H1 H 0.5119 0.0238 0.1964
```

Properties
total DFT energy (no corrections) = -34.8 eV/f.u.
total magnetization = 0.0 μB per formula unit


Entry from Alexandria via LeMat-Bulk: a relaxed structure of Be2ZnSi (GGA-PBE).

```
data_Be2ZnSi
_chemical_formula_sum 'Be4 Zn2 Si2'
_cell_length_a 3.565
_cell_length_b 3.565
_cell_length_c 7.338
_cell_angle_alpha 90.00
_cell_angle_beta 90.00
_cell_angle_gamma 90.00
_space_group_name_H-M_alt 'I -4 m 2'
_space_group_IT_number 119
_space_group_name_Hall 'I -4 -2'
loop_
_atom_site_label
_atom_site_type_symbol
_atom_site_fract_x
_atom_site_fract_y
_atom_site_fract_z
Be1 Be 0.000 0.000 0.000
Be2 Be 0.000 0.500 0.250
Zn1 Zn 0.000 0.000 0.500
Si1 Si 0.000 0.500 0.750
```

Properties
polymorph energy (0 for the lowest one) = 0.225 eV/f.u.
total DFT energy (no corrections) = -12.8 eV/f.u.
ΔE_f (raw) = 7.598 kcal/mol of atoms
total magnetization = 0.0 μB per formula unit


Entry from Alexandria via LeMat-Bulk: a relaxed structure of BaCoCl (GGA-PBE).

```
data_BaCoCl
_chemical_formula_sum 'Ba4 Co4 Cl4'
_cell_length_a 10.020
_cell_length_b 4.019
_cell_length_c 9.407
_cell_angle_alpha 90.00
_cell_angle_beta 115.32
_cell_angle_gamma 90.00
_space_group_name_H-M_alt 'C 1 m 1'
_space_group_IT_number 8
_space_group_name_Hall 'C -2y'
loop_
_atom_site_label
_atom_site_type_symbol
_atom_site_fract_x
_atom_site_fract_y
_atom_site_fract_z
Ba1 Ba 0.000 0.000 0.000
Ba2 Ba 0.010 0.000 0.498
Co1 Co 0.137 0.500 0.305
Co2 Co 0.233 0.000 0.315
Cl1 Cl 0.121 0.500 0.806
Cl2 Cl 0.379 0.000 0.184
```

Properties
polymorph energy (0 for the lowest one) = 0.534 eV/f.u.
total DFT energy (no corrections) = -13.0 eV/f.u.
ΔE_f (raw) = -16.156 kcal/mol of atoms
total magnetization = 0.0 μB per formula unit


Entry from Alexandria via LeMat-Bulk: a relaxed structure of Sr2In2Hg3 (GGA-PBE).

```
data_Sr2In2Hg3
_chemical_formula_sum 'Sr8 In8 Hg12'
_cell_length_a 9.620
_cell_length_b 9.620
_cell_length_c 9.620
_cell_angle_alpha 90.00
_cell_angle_beta 90.00
_cell_angle_gamma 90.00
_space_group_name_H-M_alt 'I 21 3'
_space_group_IT_number 199
_space_group_name_Hall 'I 2b 2c 3'
loop_
_atom_site_label
_atom_site_type_symbol
_atom_site_fract_x
_atom_site_fract_y
_atom_site_fract_z
Sr1 Sr 0.001 0.499 0.501
In1 In 0.198 0.302 0.698
Hg1 Hg 0.000 0.250 0.253
```

Properties
energy of formation = -0.2750 eV per atom
polymorph energy (0 for the lowest one) = 0.776 eV/f.u.
total DFT energy (no corrections) = -11.7 eV/f.u.
total magnetization = 0.0 μB per formula unit